A plane-wave DFT calculation with PBE-GGA was carried out for a geometry-optimized CsSiSb2F structure.

Results
E_form (uncorrected) (meV/atom): 789
Uncorrected energy (eV/atom): -2.4895
SG: P4/mmm, No. 123

Lattice parameters (Å, degrees): 6.154 4.784 6.154 90.00 90.00 90.00
Positions (direct):
Sb: 0.000 0.000 0.500
Sb: 0.500 0.000 0.000
Cs: 0.000 0.000 0.000
F: 0.000 0.500 0.000
Si: 0.500 0.500 0.500